A relaxed NaGe2SbO8 crystal. Source: Alexandria, functional PBE-GGA.

Properties
The density of states at the Fermi level is 16.20 states/eV per cell. The crystal system is tetragonal. As for the energy relative to the elements, uncorrected: -1.04 eV/atom. The calculation puts the uncorrected energy at -133.55 eV for the cell shown.

abc: 6.966 6.966 6.157
angles: 90.00 90.00 90.00
Space group I-4m2 (No. 119)
Inequivalent atoms, fractional coordinates:
Na (0.000, 0.000, 0.000)
Ge (0.000, 0.000, 0.500)
Ge (0.000, 0.500, 0.250)
Sb (0.000, 0.500, 0.750)
O (0.000, 0.205, 0.670)
O (0.000, 0.323, 0.041)

A relaxed TbPrSc3 crystal. Source: Alexandria, functional PBE-GGA.

Properties
The density of states at the Fermi level is 59.62 states/eV per cell. The crystal system is monoclinic. The calculation puts the uncorrected energy at -219.36 eV for the cell shown. The calculation puts the distance to the lowest polymorph of the same formula at 0 meV/atom. For the formation energy from the elements, the calculation gives 197 meV/atom.

abc: 13.395 10.723 8.171
angles: 90.00 95.70 90.00
Space group C2/c (No. 15)
Inequivalent atoms, fractional coordinates:
Tb (0.000, 0.008, 0.250)
Tb (0.000, 0.393, 0.750)
Pr (0.221, 0.488, 0.616)
Sc (0.079, 0.313, 0.374)
Sc (0.140, 0.201, 0.043)
Sc (0.181, 0.191, 0.660)

A relaxed Cs3LaTb2S6 crystal. Source: Alexandria, functional PBE-GGA.

Properties
The density of states at the Fermi level is 0.00 states/eV per cell. The crystal system is monoclinic. As for the energy relative to the elements, uncorrected: -1.85 eV/atom. The calculation puts the uncorrected energy at -127.38 eV for the cell shown.

abc: 7.275 12.600 8.431
angles: 90.00 106.72 90.00
Space group C2/m (No. 12)
Inequivalent atoms, fractional coordinates:
Cs (0.000, 0.000, 0.000)
Cs (0.000, 0.334, 0.000)
La (0.000, 0.500, 0.500)
Tb (0.000, 0.167, 0.500)
S (0.217, 0.000, 0.683)
S (0.233, 0.328, 0.684)

Number 3 is which compound?
Cs3LaTb2S6